(1)
Density functional theory data (PBE) for crystalline SrHoPO at its relaxed geometry.

Computed properties:
symmetry = P4/mmm (123)
M_tot = 0.000 μB/atom
ρ = 6.0 g/cm³
calculated total energy = -24.34 eV/f.u.

Lattice parameters (Å, degrees): 5.4054 5.4054 5.6761 90.00 90.00 90.00
Last column: nearest neighbours and their distance in Å.
Fractional coordinates of all 8 atoms:
O1 0.2500 0.7500 0.0000  4 Sr 2.70, 2 Ho 2.84
O2 0.7500 0.2500 0.0000  4 Sr 2.70, 2 Ho 2.84
P1 0.2500 0.2500 0.5000  4 Ho 2.70, 2 Sr 2.84
P2 0.7500 0.7500 0.5000  4 Ho 2.70, 2 Sr 2.84
Sr1 0.7500 0.7500 0.0000  4 O 2.70, 2 P 2.84
Sr2 0.2500 0.2500 0.0000  4 O 2.70, 2 P 2.84
Ho1 0.2500 0.7500 0.5000  4 P 2.70, 2 O 2.84
Ho2 0.7500 0.2500 0.5000  4 P 2.70, 2 O 2.84

---

(2)
Density functional theory data (PBE) for crystalline HoTaPO at its relaxed geometry.

Computed properties:
symmetry = P4/nmm (129)
M_tot = 0.003 μB/atom
ρ = 9.8 g/cm³
calculated total energy = -34.53 eV/f.u.

Lattice parameters (Å, degrees): 3.9116 3.9116 8.7184 90.00 90.00 90.00
Last column: nearest neighbours and their distance in Å.
Fractional coordinates of all 8 atoms:
O1 0.0000 0.0000 0.0000  4 Ho 2.24
O2 0.5000 0.5000 0.0000  4 Ho 2.24
P1 0.0000 0.5000 0.6919  4 Ta 2.57
P2 0.5000 0.0000 0.3081  4 Ta 2.57
Ta1 0.5000 0.5000 0.5000  4 P 2.57, 4 Ta 2.77
Ta2 0.0000 0.0000 0.5000  4 P 2.57, 4 Ta 2.77
Ho1 0.0000 0.5000 0.1248  4 O 2.24
Ho2 0.5000 0.0000 0.8752  4 O 2.24

---

(3)
Density functional theory data (PBE) for crystalline HoTaPO at its relaxed geometry.

Computed properties:
symmetry = Pmc2_1 (26)
M_tot = 0.000 μB/atom
ρ = 10.3 g/cm³
calculated total energy = -33.84 eV/f.u.

Lattice parameters (Å, degrees): 4.1325 4.7380 6.4964 90.00 90.00 90.00
Last column: nearest neighbours and their distance in Å.
Fractional coordinates of all 8 atoms:
Ho1 0.5000 0.8386 0.5882  3 O 2.43-2.71
Ho2 0.5000 0.1614 0.0882  3 O 2.43-2.71
Ta1 0.0000 0.3677 0.4396  2 O 2.07
Ta2 0.0000 0.6323 0.9396  2 O 2.07
P1 0.0000 0.1379 0.7906  3 Ta 2.53-2.58, 2 Ho 2.83
P2 0.0000 0.8621 0.2906  3 Ta 2.53-2.58, 2 Ho 2.83
O1 0.5000 0.3704 0.4356  2 Ta 2.07
O2 0.5000 0.6296 0.9356  2 Ta 2.07

---

(4)
Density functional theory data (PBE) for crystalline HoTaPO at its relaxed geometry.

Computed properties:
symmetry = P4/nmm (129)
M_tot = 0.004 μB/atom
ρ = 10.4 g/cm³
calculated total energy = -30.17 eV/f.u.

Lattice parameters (Å, degrees): 4.0836 4.0836 7.5100 90.00 90.00 90.00
Last column: nearest neighbours and their distance in Å.
Fractional coordinates of all 8 atoms:
Ho1 0.5000 0.5000 0.5000  4 P 2.78, 4 Ho 2.89
Ho2 0.0000 0.0000 0.5000  4 P 2.78, 4 Ho 2.89
O1 0.0000 0.0000 0.0000  4 Ta 2.20
O2 0.5000 0.5000 0.0000  4 Ta 2.20
Ta1 0.0000 0.5000 0.1082  4 O 2.20
Ta2 0.5000 0.0000 0.8918  4 O 2.20
P1 0.5000 0.0000 0.2487  1 Ta 2.68, 4 O 2.77, 4 Ho 2.78
P2 0.0000 0.5000 0.7513  1 Ta 2.68, 4 O 2.77, 4 Ho 2.78

---

- What is the formula in the fourth record?
  HoTaPO

---

- The lowest ρ belongs to which entry?
  SrHoPO

---

- The highest ρ belongs to which entry?
  number 4